Entry 1:
Density functional theory data (PBE) for a geometry-optimized RbSr2LiNi structure.

## Properties
raw total energy = -11.10 eV/cell
formation enthalpy at 0 K = 0.19 eV per atom

Cell lengths 5.8740, 5.8740, 5.7743 Å; angles 90.00, 90.00, 90.00 degrees
Positions (direct):
Ni: 0.0000 0.0000 0.0000
Sr: 0.5000 0.0000 0.0000
Rb: 0.5000 0.5000 0.5000
Li: 0.0000 0.0000 0.5000
Sr: 0.0000 0.5000 0.0000

Entry 2:
Density functional theory data (PBE) for a geometry-optimized RbLiTa2Ni structure.

## Properties
raw total energy = -25.85 eV/cell
formation enthalpy at 0 K = 1.30 eV per atom

Cell lengths 4.6685, 6.2539, 4.6685 Å; angles 90.00, 90.00, 90.00 degrees
Each line ends with the local moment (μB).
Positions (direct):
Rb: 0.0000 0.5000 0.0000  0.03
Ni: 0.0000 0.0000 0.0000  0.01
Li: 0.5000 0.5000 0.5000  0.01
Ta: 0.0000 0.0000 0.5000  0.41
Ta: 0.5000 0.0000 0.0000  0.53